An optimized crystal structure of LiTiMnSi, computed with PBE.

The density of states at the Fermi level is 3.9 states/eV/f.u. The calculation puts the uncorrected formation energy at -0.263 eV/atom. As for the total energy: -6.363 eV per atom.

The structure belongs to space group F-43m (No. 216); the cell edges are 5.825, 5.825 and 5.825 Å and the angles 90.00°, 90.00° and 90.00°. The asymmetric unit holds Li at (0.000, 0.000, 0.000), Ti at (0.250, 0.250, 0.750), Mn at (0.000, 0.000, 0.500) and Si at (0.250, 0.250, 0.250).

=====

An optimized crystal structure of LiSmThMn, computed with PBE.

The density of states at the Fermi level is 3.7 states/eV/f.u. As for the total energy: -5.620 eV per atom. Its formation energy is 0.74 eV/f.u.

The structure belongs to space group F-43m (No. 216); the cell edges are 7.157, 7.157 and 7.157 Å and the angles 90.00°, 90.00° and 90.00°. The asymmetric unit holds Li at (0.000, 0.000, 0.000), Sm at (0.250, 0.250, 0.250), Th at (0.250, 0.250, 0.750) and Mn at (0.000, 0.000, 0.500).

=====

An optimized crystal structure of LiSmYMn, computed with PBE.

The density of states at the Fermi level is 4.5 states/eV/f.u. As for the total energy: -5.428 eV per atom. Its formation energy is 0.55 eV/f.u.

The structure belongs to space group F-43m (No. 216); the cell edges are 7.216, 7.216 and 7.216 Å and the angles 90.00°, 90.00° and 90.00°. The asymmetric unit holds Li at (0.000, 0.000, 0.000), Sm at (0.250, 0.250, 0.750), Y at (0.250, 0.250, 0.250) and Mn at (0.000, 0.000, 0.500).

=====

An optimized crystal structure of LiMnSn3, computed with PBE.

The density of states at the Fermi level is 2.3 states/eV/f.u. Its excess energy over the best structure of this formula in the dataset is 0 meV/atom. As for the total energy: -4.502 eV per atom. Its formation energy is 0.58 eV/f.u.

The structure belongs to space group Pm-3m (No. 221); the cell edges are 5.029, 5.029 and 5.029 Å and the angles 90.00°, 90.00° and 90.00°. The asymmetric unit holds Li at (0.000, 0.000, 0.000), Mn at (0.500, 0.500, 0.500) and Sn at (0.000, 0.500, 0.500).

=====

An optimized crystal structure of LiMn2Sn, computed with PBE.

The density of states at the Fermi level is 4.1 states/eV/f.u. As for the total energy: -5.489 eV per atom. Its formation energy is 2.30 eV/f.u.

The structure belongs to space group I-42d (No. 122); the cell edges are 3.615, 3.615 and 18.128 Å and the angles 90.00°, 90.00° and 90.00°. The asymmetric unit holds Li at (0.000, 0.000, 0.000), Mn at (0.168, 0.250, 0.125) and Sn at (0.000, 0.000, 0.500).

=====

An optimized crystal structure of LiMn2Sn2, computed with PBE.

The density of states at the Fermi level is 3.8 states/eV/f.u. Its excess energy over the best structure of this formula in the dataset is 0 meV/atom. As for the total energy: -5.589 eV per atom. Its formation energy is 0.31 eV/f.u.

The structure belongs to space group P4/mbm (No. 127); the cell edges are 7.798, 7.798 and 3.053 Å and the angles 90.00°, 90.00° and 90.00°. The asymmetric unit holds Li at (0.000, 0.000, 0.000), Mn at (0.119, 0.381, 0.000) and Sn at (0.176, 0.676, 0.500).

=====

An optimized crystal structure of LiMn2Sn2, computed with PBE.

The density of states at the Fermi level is 3.9 states/eV/f.u. Its excess energy over the best structure of this formula in the dataset is 96 meV/atom. As for the total energy: -5.493 eV per atom. Its formation energy is 0.79 eV/f.u.

The structure belongs to space group I4/mmm (No. 139); the cell edges are 3.234, 3.234 and 17.412 Å and the angles 90.00°, 90.00° and 90.00°. The asymmetric unit holds Li at (0.000, 0.000, 0.000), Mn at (0.000, 0.500, 0.250) and Sn at (0.000, 0.000, 0.379).

=====

An optimized crystal structure of LiMnSn3, computed with PBE.

The density of states at the Fermi level is 2.4 states/eV/f.u. Its excess energy over the best structure of this formula in the dataset is 373 meV/atom. As for the total energy: -4.129 eV per atom. Its formation energy is 2.45 eV/f.u.

The structure belongs to space group Pm-3m (No. 221); the cell edges are 4.969, 4.969 and 4.969 Å and the angles 90.00°, 90.00° and 90.00°. The asymmetric unit holds Li at (0.000, 0.000, 0.000), Mn at (0.500, 0.500, 0.500) and Sn at (0.000, 0.000, 0.500).

=====

An optimized crystal structure of Li2Mn2Sn, computed with PBE.

The density of states at the Fermi level is 6.7 states/eV/f.u. As for the total energy: -4.664 eV per atom. Its formation energy is 2.85 eV/f.u.

The structure belongs to space group I4/mmm (No. 139); the cell edges are 4.840, 4.840 and 7.928 Å and the angles 90.00°, 90.00° and 90.00°. The asymmetric unit holds Li at (0.000, 0.500, 0.250), Mn at (0.000, 0.000, 0.157) and Sn at (0.000, 0.000, 0.500).

=====

An optimized crystal structure of LiMnTcSn2, computed with PBE.

The density of states at the Fermi level is 3.0 states/eV/f.u. As for the total energy: -5.192 eV per atom. Its formation energy is 3.49 eV/f.u.

The structure belongs to space group P4/mmm (No. 123); the cell edges are 5.194, 5.194 and 4.922 Å and the angles 90.00°, 90.00° and 90.00°. The asymmetric unit holds Li at (0.000, 0.000, 0.000), Mn at (0.500, 0.500, 0.000), Tc at (0.000, 0.000, 0.500) and Sn at (0.000, 0.500, 0.500).

=====

An optimized crystal structure of Li2MnTcSn, computed with PBE.

The density of states at the Fermi level is 6.0 states/eV/f.u. As for the total energy: -4.072 eV per atom. Its formation energy is 7.01 eV/f.u.

The structure belongs to space group P4/mmm (No. 123); the cell edges are 4.462, 4.462 and 4.771 Å and the angles 90.00°, 90.00° and 90.00°. The asymmetric unit holds Li at (0.000, 0.500, 0.000), Mn at (0.000, 0.000, 0.500), Tc at (0.500, 0.500, 0.500) and Sn at (0.000, 0.000, 0.000).

=====

An optimized crystal structure of LiTmMnSn, computed with PBE.

The density of states at the Fermi level is 4.2 states/eV/f.u. As for the total energy: -5.079 eV per atom. Its formation energy is -0.76 eV/f.u.

The structure belongs to space group F-43m (No. 216); the cell edges are 6.695, 6.695 and 6.695 Å and the angles 90.00°, 90.00° and 90.00°. The asymmetric unit holds Li at (0.000, 0.000, 0.000), Tm at (0.250, 0.250, 0.250), Mn at (0.000, 0.000, 0.500) and Sn at (0.250, 0.250, 0.750).